TlRhBr2 (PBE-GGA, optimized geometry); energy above the lowest structure with this stoichiometry = 0.121 eV per atom; ΔE_f (raw) = -0.18 eV/atom; total energy = -3.442 eV per atom; space group = Amm2, No. 38; total magnetization = 0.0 Bohr magnetons per cell
1.0
4.2679 0.0000 0.0000
0.0000 4.9604 0.0000
0.0000 0.0000 10.4338
Tl Rh Br
2 2 4
direct
0.0000 0.0000 0.0000
0.0000 0.5000 0.5000
0.5000 0.0000 0.8450
0.5000 0.5000 0.3450
0.0000 0.0000 0.6710
0.0000 0.5000 0.1710
0.5000 0.0000 0.3075
0.5000 0.5000 0.8075